Here is La2TbCu3 after structural relaxation from Alexandria. Energies are from PBE.

Output
- Space-group type: Cmmm
- Magnetic moment: 0.001 μB per cell
- Electronic total energy: -0.1701 Ha/atom
- E_form: -3.81 kcal/mol of atoms

Geometry as POSCAR:
```
La2TbCu3
1.0
-4.155 -2.703 -1.165
1.140 -3.439 -7.211
2.847 -5.755 3.194
La Tb Cu
4 2 6
direct
0.000 0.000 0.000 La
0.000 0.000 0.500 La
0.335 0.330 0.500 La
0.665 0.670 0.500 La
0.332 0.336 0.000 Tb
0.668 0.664 0.000 Tb
0.827 0.345 0.773 Cu
0.500 0.000 0.235 Cu
0.173 0.655 0.227 Cu
0.827 0.345 0.227 Cu
0.173 0.655 0.773 Cu
0.500 0.000 0.765 Cu
```

Here is TbHoScCd after structural relaxation from Alexandria. Energies are from PBE.

Output
- Space-group type: F-43m
- Polymorph energy (0 for the lowest one): 0.0807 eV/atom
- Magnetic moment: 0.021 μB per cell
- Electronic total energy: -0.1529 Ha/atom
- E_form: -1.07 kcal/mol of atoms

Geometry as POSCAR:
```
TbHoScCd
1.0
-2.176 4.594 1.611
-1.802 0.490 4.995
2.591 3.103 3.477
Sc Tb Ho Cd
1 1 1 1
direct
0.250 0.250 0.250 Sc
0.500 0.500 0.500 Tb
0.000 0.000 0.000 Ho
0.750 0.750 0.750 Cd
```

Here is NaCdGa after structural relaxation from Alexandria. Energies are from PBE.

Output
- Space-group type: Imma
- Polymorph energy (0 for the lowest one): 0.0095 eV/atom
- Magnetic moment: 0.000 μB per cell
- Electronic total energy: -0.0674 Ha/atom
- E_form: -1.87 kcal/mol of atoms

Geometry as POSCAR:
```
NaCdGa
1.0
5.083 -0.079 -2.776
-3.384 4.700 -0.120
0.057 0.079 5.792
Na Cd Ga
2 2 2
direct
0.250 0.121 0.871 Na
0.750 0.879 0.129 Na
0.500 0.500 0.500 Cd
0.000 0.500 0.000 Cd
0.000 0.500 0.500 Ga
0.500 0.000 0.500 Ga
```

Here is Pm2SmYTe6 after structural relaxation from Alexandria. Energies are from PBE.

Output
- Space-group type: R3
- Magnetic moment: 0.000 μB per cell
- Electronic total energy: -0.1961 Ha/atom
- Energy relative to the elements, uncorrected: -1.38 eV per atom

Geometry as POSCAR:
```
Pm2SmYTe6
1.0
7.847 0.000 0.000
3.924 6.795 0.000
3.923 2.265 7.120
Pm Sm Y Te
2 1 1 6
direct
0.512 0.512 0.463 Pm
0.011 0.011 0.966 Pm
0.822 0.822 0.534 Sm
0.323 0.323 0.030 Y
0.598 0.224 0.252 Te
0.223 0.926 0.252 Te
0.926 0.598 0.252 Te
0.420 0.721 0.755 Te
0.721 0.104 0.755 Te
0.105 0.420 0.755 Te
```

Here is Ba4LiIr after structural relaxation from Alexandria. Energies are from PBE.

Output
- Space-group type: C2/c
- Polymorph energy (0 for the lowest one): 0.0265 eV/atom
- Magnetic moment: 0.000 μB per cell
- Electronic total energy: -0.1147 Ha/atom
- E_form: -0.98 kcal/mol of atoms

Geometry as POSCAR:
```
Ba4LiIr
1.0
7.478 -1.052 0.000
-3.208 10.188 0.000
-2.135 -4.568 7.348
Ba Li Ir
8 2 2
direct
0.094 0.195 0.847 Ba
0.782 0.741 0.681 Ba
0.253 0.653 0.847 Ba
0.399 0.940 0.681 Ba
0.601 0.060 0.319 Ba
0.747 0.347 0.153 Ba
0.218 0.259 0.319 Ba
0.906 0.805 0.153 Ba
0.382 0.632 0.264 Li
0.618 0.368 0.736 Li
0.250 0.000 0.999 Ir
0.750 0.000 0.001 Ir
```

Here is DyHoAlZn after structural relaxation from Alexandria. Energies are from PBE.

Output
- Space-group type: F-43m
- Polymorph energy (0 for the lowest one): 0.0060 eV/atom
- Magnetic moment: 0.000 μB per cell
- Electronic total energy: -0.1442 Ha/atom
- E_form: -8.67 kcal/mol of atoms

Geometry as POSCAR:
```
DyHoAlZn
1.0
5.067 0.000 0.000
2.534 4.388 0.000
2.534 1.463 4.137
Zn Al Ho Dy
1 1 1 1
direct
0.750 0.750 0.750 Zn
0.250 0.250 0.250 Al
0.000 0.000 0.000 Ho
0.500 0.500 0.500 Dy
```

Here is PmIn5Ni after structural relaxation from Alexandria. Energies are from PBE.

Output
- Space-group type: P4/mmm
- Magnetic moment: 0.000 μB per cell
- Electronic total energy: -0.1387 Ha/atom
- E_form: -7.21 kcal/mol of atoms

Geometry as POSCAR:
```
PmIn5Ni
1.0
-2.860 3.658 0.356
-0.733 -0.126 -4.597
-5.868 -4.691 1.064
Pm In Ni
1 5 1
direct
0.000 0.000 0.000 Pm
0.500 0.000 0.694 In
0.000 0.500 0.694 In
0.500 0.500 0.000 In
0.000 0.500 0.306 In
0.500 0.000 0.306 In
0.000 0.000 0.500 Ni
```

Here is K2CeRhO6 after structural relaxation from Alexandria. Energies are from PBE.

Output
- Space-group type: I4/mmm
- Magnetic moment: 2.879 μB per cell
- Electronic total energy: -0.2285 Ha/atom
- Energy relative to the elements, uncorrected: -1.69 eV per atom

Geometry as POSCAR:
```
K2CeRhO6
1.0
-1.687 2.788 4.958
-2.406 -5.008 2.083
1.624 -2.119 5.338
K Ce Rh O
2 1 1 6
direct
0.250 0.750 0.500 K
0.750 0.250 0.500 K
0.000 0.000 0.000 Ce
0.500 0.500 0.000 Rh
0.257 0.743 0.000 O
0.729 0.729 0.000 O
0.271 0.271 0.458 O
0.743 0.257 0.000 O
0.271 0.271 0.000 O
0.729 0.729 0.542 O
```

> Which of these has the lowest electronic total energy?

K2CeRhO6

> Number 8 is which compound?

K2CeRhO6

> Which value of electronic total energy does entry 6 give?

-0.1442 Ha/atom

> Look up the magnetic moment of the sixth one.

0.000 μB per cell